1.
Material: Er2TmRe
Method: DFT, GGA-PBE
State: relaxed

Cell lengths 3.189, 3.189, 11.345 Å; angles 81.92, 81.92, 60.00 degrees
Site moments in Bohr magnetons follow the coordinates.
Atoms (fractional coordinates):
1 Tm 0.500 0.500 0.500  0.00
2 Er 0.920 0.920 0.240  0.00
3 Er 0.080 0.080 0.760  0.00
4 Re 0.000 0.000 0.000  0.05

Results
Its calculated formation energy is 0.758 eV/atom.

2.
Material: NaSnSeF
Method: DFT, GGA-PBE
State: relaxed

Cell lengths 3.903, 3.903, 15.328 Å; angles 82.69, 82.69, 60.00 degrees
Atoms (fractional coordinates):
1 Na 0.359 0.359 0.924
2 Na 0.641 0.641 0.076
3 F 0.307 0.307 0.078
4 F 0.693 0.693 0.922
5 Sn 0.201 0.201 0.397
6 Sn 0.799 0.799 0.603
7 Se 0.902 0.902 0.294
8 Se 0.098 0.098 0.706

Results
The calculation puts the uncorrected formation energy at -1.48 eV per atom.

3.
Material: Tm2NiHg
Method: DFT, GGA-PBE
State: relaxed

Cell lengths 4.978, 4.978, 4.978 Å; angles 60.00, 60.00, 60.00 degrees
Atoms (fractional coordinates):
1 Tm 0.750 0.750 0.750
2 Tm 0.250 0.250 0.250
3 Ni 0.500 0.500 0.500
4 Hg 0.000 0.000 0.000

Results
Its calculated formation energy is -0.390 eV/atom. The value obtained for the energy above the most stable polymorph in this dataset is 86 meV per atom.